1.
First-principles (PBE) data for a relaxed structure of LaZrO2, as listed in the Alexandria database.

Summary:
polymorph energy (0 for the lowest one): 743 meV/atom
total magnetic moment: 0.00 μB per formula unit
ΔE_f (raw): -183.8 kJ per mole of atoms
electronic total energy: -7.75 eV/atom

abc: 6.0638 6.0638 6.0638
angles: 90.00 90.00 90.00
With the nearest neighbours (Å) after each atom.
Space group Fm-3m (No. 225)
Asymmetric unit:
1 La 0.0000 0.0000 0.0000 (multiplicity 4)  8 O 2.63
2 Zr 0.0000 0.0000 0.5000 (multiplicity 4)  8 O 2.63
3 O 0.2500 0.2500 0.2500 (multiplicity 8)  4 Zr 2.63, 4 La 2.63

2.
First-principles (PBE) data for a relaxed structure of ScAl3Zn, as listed in the Alexandria database.

Summary:
polymorph energy (0 for the lowest one): 0 meV/atom
total magnetic moment: 0.00 μB per formula unit
ΔE_f: 0.349 eV/atom
electronic total energy: -3.42 eV/atom

abc: 4.7069 4.7069 4.7069
angles: 90.00 90.00 90.00
With the nearest neighbours (Å) after each atom.
Space group Pm-3m (No. 221)
Asymmetric unit:
1 Sc 0.0000 0.0000 0.0000 (multiplicity 1)  12 Al 3.33
2 Al 0.0000 0.5000 0.5000 (multiplicity 3)  2 Zn 2.35
3 Zn 0.5000 0.5000 0.5000 (multiplicity 1)  6 Al 2.35

3.
First-principles (PBE) data for a relaxed structure of PrErSe2, as listed in the Alexandria database.

Summary:
polymorph energy (0 for the lowest one): 47 meV/atom
total magnetic moment: 0.00 μB per formula unit
ΔE_f (raw): -167.4 kJ per mole of atoms
electronic total energy: -5.81 eV/atom

abc: 4.0054 4.0054 22.1051
angles: 90.00 90.00 120.00
With the nearest neighbours (Å) after each atom.
Space group R3m (No. 160, hexagonal axes)
Asymmetric unit:
1 Pr 0.0000 0.0000 0.0000 (multiplicity 3)  6 Se 2.95-3.09
2 Er 0.0000 0.0000 0.1763 (multiplicity 3)  6 Se 2.83-2.96
3 Se 0.0000 0.0000 0.4260 (multiplicity 3)  3 Er 2.96, 3 Pr 3.09
4 Se 0.0000 0.0000 0.5835 (multiplicity 3)  3 Er 2.83, 3 Pr 2.95

4.
First-principles (PBE) data for a relaxed structure of K2CdSb, as listed in the Alexandria database.

Summary:
polymorph energy (0 for the lowest one): 0 meV/atom
total magnetic moment: 0.00 μB per formula unit
ΔE_f (raw): -25.6 kJ per mole of atoms
electronic total energy: -2.07 eV/atom

abc: 4.7306 5.8169 10.8512
angles: 90.00 90.00 90.00
With the nearest neighbours (Å) after each atom.
Space group Imm2 (No. 44)
Asymmetric unit:
1 K 0.0000 0.0000 0.0000 (multiplicity 2)  4 K 3.64-4.01, 4 Sb 3.79-3.81, 4 Cd 3.84
2 K 0.0000 0.5000 0.2014 (multiplicity 2)  4 K 3.64-4.01, 4 Cd 3.79-3.82, 4 Sb 3.83
3 Cd 0.0000 0.0000 0.4248 (multiplicity 2)  2 Sb 2.88
4 Sb 0.0000 0.5000 0.7728 (multiplicity 2)  2 Cd 2.88

5.
First-principles (PBE) data for a relaxed structure of DyErCoOs, as listed in the Alexandria database.

Summary:
total magnetic moment: 0.00 μB per formula unit
ΔE_f: -0.151 eV/atom
electronic total energy: -7.03 eV/atom

abc: 6.7249 6.7249 6.7249
angles: 90.00 90.00 90.00
With the nearest neighbours (Å) after each atom.
Space group F-43m (No. 216)
Asymmetric unit:
1 Dy 0.0000 0.0000 0.0000 (multiplicity 4)  4 Co 2.91, 4 Os 2.91
2 Er 0.0000 0.0000 0.5000 (multiplicity 4)  4 Os 2.91, 4 Co 2.91
3 Co 0.2500 0.2500 0.2500 (multiplicity 4)  4 Dy 2.91, 4 Er 2.91
4 Os 0.2500 0.2500 0.7500 (multiplicity 4)  4 Dy 2.91, 4 Er 2.91

6.
First-principles (PBE) data for a relaxed structure of YInH3, as listed in the Alexandria database.

Summary:
polymorph energy (0 for the lowest one): 461 meV/atom
total magnetic moment: 0.00 μB per formula unit
electronic total energy: -3.56 eV/atom

abc: 4.0013 4.0013 4.0013
angles: 90.00 90.00 90.00
With the nearest neighbours (Å) after each atom.
Space group Pm-3m (No. 221)
Asymmetric unit:
1 Y 0.0000 0.0000 0.0000 (multiplicity 1)  12 H 2.83
2 In 0.5000 0.5000 0.5000 (multiplicity 1)  6 H 2.00
3 H 0.0000 0.5000 0.5000 (multiplicity 3)  2 In 2.00

7.
First-principles (PBE) data for a relaxed structure of LiMgI2, as listed in the Alexandria database.

Summary:
polymorph energy (0 for the lowest one): 125 meV/atom
total magnetic moment: 0.00 μB per formula unit
ΔE_f (raw): -50.4 kJ per mole of atoms
electronic total energy: -2.17 eV/atom

abc: 7.7506 7.7506 7.7506
angles: 90.00 90.00 90.00
With the nearest neighbours (Å) after each atom.
Space group Fm-3m (No. 225)
Asymmetric unit:
1 Li 0.0000 0.0000 0.0000 (multiplicity 4)  8 I 3.36
2 Mg 0.0000 0.0000 0.5000 (multiplicity 4)  8 I 3.36
3 I 0.2500 0.2500 0.2500 (multiplicity 8)  4 Li 3.36, 4 Mg 3.36

8.
First-principles (PBE) data for a relaxed structure of LaTh2Tl, as listed in the Alexandria database.

Summary:
polymorph energy (0 for the lowest one): 111 meV/atom
total magnetic moment: 0.00 μB per formula unit
ΔE_f: 0.017 eV/atom
electronic total energy: -5.52 eV/atom

abc: 4.2099 4.2099 7.1319
angles: 90.00 90.00 90.00
With the nearest neighbours (Å) after each atom.
Space group P4/mmm (No. 123)
Asymmetric unit:
1 La 0.0000 0.0000 0.0000 (multiplicity 1)  8 Th 3.56, 2 Tl 3.57
2 Th 0.5000 0.5000 0.2740 (multiplicity 2)  1 Th 3.22, 4 Tl 3.39, 4 La 3.56
3 Tl 0.0000 0.0000 0.5000 (multiplicity 1)  8 Th 3.39, 2 La 3.57